No. 1
Material: Pr2BeGa
Method: DFT, PBE
State: relaxed

a b c (Å): 7.307 7.307 7.307
angles (deg): 90.00 90.00 90.00
Fractional positions:
Pr1 0.250 0.250 0.250
Pr2 0.250 0.250 0.750
Pr3 0.250 0.750 0.250
Pr4 0.250 0.750 0.750
Pr5 0.750 0.250 0.250
Pr6 0.750 0.250 0.750
Pr7 0.750 0.750 0.250
Pr8 0.750 0.750 0.750
Be1 0.000 0.000 0.000
Be2 0.000 0.500 0.500
Be3 0.500 0.000 0.500
Be4 0.500 0.500 0.000
Ga1 0.000 0.000 0.500
Ga2 0.000 0.500 0.000
Ga3 0.500 0.000 0.000
Ga4 0.500 0.500 0.500

DOS(E_F): 4.3 states/eV/f.u.
E_tot: -67.5 eV per cell
magnetic moment: 0.000 μB/cell
polymorph energy (0 for the lowest one): 10.6 meV per atom
formation enthalpy at 0 K: -0.1409 eV per atom

---

No. 2
Material: Pr2BeGa
Method: DFT, PBE
State: relaxed

a b c (Å): 3.627 3.627 7.351
angles (deg): 90.00 90.00 90.00
Fractional positions:
Pr1 0.000 0.000 0.235
Pr2 0.000 0.000 0.765
Be1 0.500 0.500 0.000
Ga1 0.500 0.500 0.500

DOS(E_F): 3.5 states/eV/f.u.
E_tot: -16.9 eV per cell
magnetic moment: 0.000 μB/cell
polymorph energy (0 for the lowest one): 0.0 meV per atom
formation enthalpy at 0 K: -0.1516 eV per atom

---

No. 3
Material: Pr12Be3Ga5
Method: DFT, PBE
State: relaxed

a b c (Å): 15.115 15.115 15.115
angles (deg): 109.47 109.47 109.47
Fractional positions:
Pr1 0.059 0.226 0.134
Pr2 0.059 0.333 0.925
Pr3 0.075 0.634 0.408
Pr4 0.075 0.941 0.667
Pr5 0.092 0.726 0.667
Pr6 0.092 0.866 0.425
Pr7 0.134 0.059 0.226
Pr8 0.134 0.575 0.908
Pr9 0.167 0.226 0.592
Pr10 0.167 0.441 0.575
Pr11 0.226 0.134 0.059
Pr12 0.226 0.592 0.167
Pr13 0.274 0.333 0.908
Pr14 0.274 0.441 0.366
Pr15 0.333 0.908 0.274
Pr16 0.333 0.925 0.059
Pr17 0.366 0.274 0.441
Pr18 0.366 0.592 0.925
Pr19 0.408 0.075 0.634
Pr20 0.408 0.833 0.774
Pr21 0.425 0.092 0.866
Pr22 0.425 0.833 0.559
Pr23 0.441 0.366 0.274
Pr24 0.441 0.575 0.167
Pr25 0.559 0.425 0.833
Pr26 0.559 0.634 0.726
Pr27 0.575 0.167 0.441
Pr28 0.575 0.908 0.134
Pr29 0.592 0.167 0.226
Pr30 0.592 0.925 0.366
Pr31 0.634 0.408 0.075
Pr32 0.634 0.726 0.559
Pr33 0.667 0.075 0.941
Pr34 0.667 0.092 0.726
Pr35 0.726 0.559 0.634
Pr36 0.726 0.667 0.092
Pr37 0.774 0.408 0.833
Pr38 0.774 0.866 0.941
Pr39 0.833 0.559 0.425
Pr40 0.833 0.774 0.408
Pr41 0.866 0.425 0.092
Pr42 0.866 0.941 0.774
Pr43 0.908 0.134 0.575
Pr44 0.908 0.274 0.333
Pr45 0.925 0.059 0.333
Pr46 0.925 0.366 0.592
Pr47 0.941 0.667 0.075
Pr48 0.941 0.774 0.866
Be1 0.125 0.250 0.375
Be2 0.125 0.375 0.750
Be3 0.250 0.375 0.125
Be4 0.250 0.875 0.625
Be5 0.375 0.125 0.250
Be6 0.375 0.750 0.125
Be7 0.625 0.250 0.875
Be8 0.625 0.875 0.750
Be9 0.750 0.125 0.375
Be10 0.750 0.625 0.875
Be11 0.875 0.625 0.250
Be12 0.875 0.750 0.625
Ga1 0.000 0.000 0.000
Ga2 0.000 0.000 0.500
Ga3 0.000 0.500 0.000
Ga4 0.000 0.500 0.500
Ga5 0.125 0.750 0.875
Ga6 0.125 0.875 0.250
Ga7 0.250 0.125 0.875
Ga8 0.250 0.625 0.375
Ga9 0.375 0.250 0.625
Ga10 0.375 0.625 0.750
Ga11 0.500 0.000 0.000
Ga12 0.500 0.000 0.500
Ga13 0.500 0.500 0.000
Ga14 0.500 0.500 0.500
Ga15 0.625 0.375 0.250
Ga16 0.625 0.750 0.375
Ga17 0.750 0.375 0.625
Ga18 0.750 0.875 0.125
Ga19 0.875 0.125 0.750
Ga20 0.875 0.250 0.125

DOS(E_F): 27.6 states/eV/f.u.
E_tot: -312.2 eV per cell
magnetic moment: 0.000 μB/cell
formation enthalpy at 0 K: 0.2811 eV per atom